Computed, not measured: an optimized crystal structure of ReTcAg2 at the PBE level of DFT.

```
ReTcAg2
1.0
-0.850 -3.809 -3.575
3.683 -3.704 -0.859
-2.503 2.241 4.090
Ag Re Tc
2 1 1
Direct
0.000 0.000 0.000
0.500 0.500 0.000
0.250 0.750 0.500
0.750 0.250 0.500
```

The symmetry is No. 139. For the energy of formation from the pure elements, the calculation gives 0.677 eV/atom.